Record 1
Here is a relaxed Hf3TiRe crystal from the Alexandria database. Energies are from GGA-PBE.

Energy above the lowest structure with this stoichiometry ... 42.31 kJ/mol of atoms
ΔE_f ... 0.767 eV per atom

a = 5.000 Å, b = 5.000 Å, c = 5.000 Å
α = 90.00°, β = 90.00°, γ = 90.00°
Space group Pm-3m (No. 221)
Asymmetric unit:
Hf 0.000 0.000 0.500 (multiplicity 3)
Ti 0.500 0.500 0.500 (multiplicity 1)
Re 0.000 0.000 0.000 (multiplicity 1)



Record 2
Here is a relaxed Sr2TaRh crystal from the Alexandria database. Energies are from GGA-PBE.

Energy above the lowest structure with this stoichiometry ... 62.61 kJ/mol of atoms
ΔE_f ... 0.753 eV per atom

a = 3.266 Å, b = 5.037 Å, c = 5.962 Å
α = 90.00°, β = 96.67°, γ = 90.00°
Space group P2/m (No. 10)
Asymmetric unit:
Sr 0.064 0.000 0.260 (multiplicity 2)
Ta 0.500 0.500 0.000 (multiplicity 1)
Rh 0.500 0.500 0.500 (multiplicity 1)



Record 3
Here is a relaxed CuReSe2N crystal from the Alexandria database. Energies are from GGA-PBE.

Raw formation energy ... 50.4 kJ/mol of atoms
Energy above the lowest structure with this stoichiometry ... 0.00 kJ/mol of atoms

a = 5.020 Å, b = 5.020 Å, c = 3.720 Å
α = 90.00°, β = 90.00°, γ = 90.00°
Space group P4/mmm (No. 123)
Asymmetric unit:
Cu 0.000 0.000 0.000 (multiplicity 1)
Re 0.500 0.500 0.500 (multiplicity 1)
Se 0.000 0.500 0.500 (multiplicity 2)
N 0.500 0.500 0.000 (multiplicity 1)



Record 4
Here is a relaxed NaCdSI2 crystal from the Alexandria database. Energies are from GGA-PBE.

Raw formation energy ... 34.6 kJ/mol of atoms

a = 5.853 Å, b = 5.853 Å, c = 6.055 Å
α = 90.00°, β = 90.00°, γ = 90.00°
Space group P4/mmm (No. 123)
Asymmetric unit:
Na 0.000 0.000 0.000 (multiplicity 1)
Cd 0.000 0.000 0.500 (multiplicity 1)
S 0.500 0.500 0.500 (multiplicity 1)
I 0.000 0.500 0.000 (multiplicity 2)



Record 5
Here is a relaxed TlRe2W crystal from the Alexandria database. Energies are from GGA-PBE.

Energy above the lowest structure with this stoichiometry ... 9.44 kJ/mol of atoms
ΔE_f ... 0.664 eV per atom

a = 3.142 Å, b = 4.727 Å, c = 9.441 Å
α = 90.00°, β = 90.00°, γ = 90.00°
Space group Cmmm (No. 65)
Asymmetric unit:
Tl 0.000 0.000 0.000 (multiplicity 2)
Re 0.000 0.500 0.277 (multiplicity 4)
W 0.000 0.000 0.500 (multiplicity 2)



Record 6
Here is a relaxed Nd2SmTh crystal from the Alexandria database. Energies are from GGA-PBE.

Energy above the lowest structure with this stoichiometry ... 0.00 kJ/mol of atoms
ΔE_f ... 0.027 eV per atom

a = 3.6429 Å, b = 3.6429 Å, c = 23.6865 Å
α = 90.00°, β = 90.00°, γ = 120.00°
Space group P6_3/mmc (No. 194)
Asymmetric unit:
Nd 0.3333 0.6667 0.1226 (multiplicity 4)
Sm 0.3333 0.6667 0.7500 (multiplicity 2)
Th 0.0000 0.0000 0.0000 (multiplicity 2)